PrNb2Co PBE relaxed; energy of formation from the pure elements = 2.51 eV per formula unit
1.0
-0.8144 -2.7203 -1.0186
0.6422 -2.4683 1.6112
-8.8820 -0.8875 5.0048
Pr Nb Co
1 2 1
Direct
0.0000 0.0000 0.0000 Pr
0.1020 0.1020 0.6940 Nb
0.8980 0.8980 0.3060 Nb
0.5000 0.5000 0.5000 Co

CaCe3Sn12 PBE relaxed; energy of formation from the pure elements = -7.98 eV per formula unit
1.0
4.7290 0.0000 0.0000
0.0000 4.7290 0.0000
0.0000 0.0000 18.9041
Ca Ce Sn
1 3 12
Direct
0.0000 0.0000 0.0000 Ca
0.0000 0.0000 0.2539 Ce
0.0000 0.0000 0.5000 Ce
0.0000 0.0000 0.7461 Ce
0.5000 0.5000 0.0000 Sn
0.5000 0.5000 0.2513 Sn
0.5000 0.5000 0.5000 Sn
0.5000 0.5000 0.7487 Sn
0.5000 0.0000 0.1261 Sn
0.5000 0.0000 0.3763 Sn
0.5000 0.0000 0.6237 Sn
0.5000 0.0000 0.8739 Sn
0.0000 0.5000 0.1261 Sn
0.0000 0.5000 0.3763 Sn
0.0000 0.5000 0.6237 Sn
0.0000 0.5000 0.8739 Sn

Cr3Ga PBE relaxed; energy of formation from the pure elements = -0.25 eV per formula unit
1.0
-2.6057 -3.5992 1.1539
0.2704 -1.5754 -4.3036
3.7700 -2.3747 1.1062
Cr Ga
6 2
Direct
0.2500 0.0000 0.5000 Cr
0.7500 0.0000 0.5000 Cr
0.0000 0.5000 0.2500 Cr
0.0000 0.5000 0.7500 Cr
0.5000 0.7500 0.0000 Cr
0.5000 0.2500 0.0000 Cr
0.0000 0.0000 0.0000 Ga
0.5000 0.5000 0.5000 Ga

Ga2Fe3Co3 PBE relaxed; energy of formation from the pure elements = -1.15 eV per formula unit
1.0
-2.4060 -1.0214 3.0228
2.9112 -2.1977 1.5746
1.8792 4.6984 3.0834
Ga Fe Co
2 3 3
Direct
0.0000 0.0000 0.7467 Ga
0.0000 0.0000 0.2533 Ga
0.5000 0.5000 0.7506 Fe
0.5000 0.5000 0.2494 Fe
0.5000 0.0000 0.0000 Fe
0.5000 0.0000 0.5000 Co
0.0000 0.5000 0.0000 Co
0.0000 0.5000 0.5000 Co

La6Si2TeCl3 PBE relaxed; ΔE_f (raw) = -1.373 eV per atom
1.0
-3.9802 1.4461 -1.1361
-3.4644 -7.4270 2.6833
1.5309 4.2262 8.4769
La Si Te Cl
6 2 1 3
Direct
0.3256 0.8928 0.6512 La
0.6699 0.5754 0.3398 La
0.6744 0.1072 0.3488 La
0.0089 0.2713 0.0178 La
0.9911 0.7287 0.9822 La
0.3301 0.4246 0.6602 La
0.8321 0.6649 0.6642 Si
0.1679 0.3351 0.3358 Si
0.5000 0.0000 0.0000 Te
0.5000 0.5000 0.0000 Cl
0.8374 0.1652 0.6748 Cl
0.1626 0.8348 0.3252 Cl

LaPrCdI PBE relaxed; ΔE_f (raw) = -0.464 eV per atom
1.0
-4.7206 2.6598 1.3864
-2.6186 -1.2582 4.7792
-0.0095 3.6583 4.2305
Pr I Cd La
1 1 1 1
Direct
0.5000 0.5000 0.5000 Pr
0.7500 0.7500 0.7500 I
0.2500 0.2500 0.2500 Cd
0.0000 0.0000 0.0000 La

RbRuPt2 PBE relaxed; excess energy over the best structure of this formula in the dataset = 0.000 eV/atom; energy of formation from the pure elements = 2.96 eV per formula unit
1.0
7.8254 0.0000 0.0000
0.0000 7.8254 0.0000
3.9127 3.9127 3.9824
Ru Rb Pt
2 2 4
Direct
0.0000 0.0000 0.0000 Ru
0.7500 0.2500 0.5000 Ru
0.5000 0.5000 0.0000 Rb
0.2500 0.7500 0.5000 Rb
0.7550 0.1250 0.2500 Pt
0.9950 0.6250 0.2500 Pt
0.3750 0.2450 0.7500 Pt
0.8750 0.0050 0.7500 Pt

CrBi2MoOs PBE relaxed; energy of formation from the pure elements = 7.72 eV per formula unit
1.0
5.3050 0.0000 0.0000
0.0000 4.7378 0.0000
0.0000 0.0000 5.3050
Cr Mo Os Bi
1 1 1 2
Direct
0.0000 0.5000 0.0000 Cr
0.5000 0.5000 0.5000 Mo
0.0000 0.0000 0.0000 Os
0.0000 0.0000 0.5000 Bi
0.5000 0.0000 0.0000 Bi

NpGa6O12 PBE relaxed; ΔE_f (raw) = -1.904 eV per atom
1.0
5.9394 -0.3315 -0.6793
-0.7228 5.9046 -0.6793
-0.3103 -0.3315 5.9701
Np Ga O
1 6 12
Direct
0.0000 0.0000 0.0000 Np
0.1452 0.3468 0.6034 Ga
0.6532 0.3966 0.8548 Ga
0.3966 0.8548 0.6532 Ga
0.8548 0.6532 0.3966 Ga
0.3468 0.6034 0.1452 Ga
0.6034 0.1452 0.3468 Ga
0.3991 0.1800 0.5822 O
0.1800 0.5822 0.3991 O
0.5822 0.3991 0.1800 O
0.6009 0.8200 0.4178 O
0.8200 0.4178 0.6009 O
0.4178 0.6009 0.8200 O
0.0613 0.8717 0.6791 O
0.3209 0.9387 0.1283 O
0.1283 0.3209 0.9387 O
0.9387 0.1283 0.3209 O
0.6791 0.0613 0.8717 O
0.8717 0.6791 0.0613 O

As2PdW PBE relaxed; excess energy over the best structure of this formula in the dataset = 0.000 eV/atom; energy of formation from the pure elements = 0.93 eV per formula unit
1.0
2.7133 -3.0324 -1.9150
2.4570 -2.7571 2.5664
-1.0150 -4.3761 0.2108
As Pd W
2 1 1
Direct
0.2500 0.2500 0.2500 As
0.7500 0.7500 0.7500 As
0.0000 0.0000 0.0000 Pd
0.5000 0.5000 0.5000 W

Pb2Au PBE relaxed; energy of formation from the pure elements = -0.27 eV per formula unit
1.0
6.0124 0.0071 0.0000
-3.2214 5.0766 0.0000
-1.3955 -2.5419 5.2669
Au Pb
2 4
Direct
0.2500 0.2500 0.0000 Au
0.7500 0.7500 0.0000 Au
0.1603 0.3397 0.5000 Pb
0.8397 0.6603 0.5000 Pb
0.3397 0.8397 0.1794 Pb
0.6603 0.1603 0.8206 Pb

U2In8Ag PBE relaxed; energy of formation from the pure elements = 0.05 eV per formula unit
1.0
-1.1733 -2.1973 4.0180
4.3488 -1.8344 0.2667
3.7131 9.7344 6.4077
U In Ag
2 8 1
Direct
0.0000 0.0000 0.3132 U
0.0000 0.0000 0.6868 U
0.0000 0.5000 0.5000 In
0.5000 0.0000 0.5000 In
0.5000 0.5000 0.3139 In
0.5000 0.5000 0.6861 In
0.0000 0.5000 0.1335 In
0.5000 0.0000 0.1335 In
0.0000 0.5000 0.8665 In
0.5000 0.0000 0.8665 In
0.0000 0.0000 0.0000 Ag